Density functional theory data (PBE-GGA) for an optimized crystal structure of Rb3PtW.

## Properties
- energy above the lowest structure with this stoichiometry (eV per atom) = 0.000
- DOS at the Fermi energy (states/eV per atom) = 0.00
- ΔH_f (0 K) (eV/atom) = 1.341
- calculated total energy (eV per atom) = -3.0379
- ρ (g/cm3) = 4.1

The structure in POSCAR format:
```
Rb3PtW
1.0
6.373 0.000 0.000
0.000 6.373 0.000
0.000 0.000 6.373
Rb W Pt
3 1 1
Direct
0.000 0.500 0.000 Rb
0.500 0.000 0.000 Rb
0.000 0.000 0.500 Rb
0.500 0.500 0.500 W
0.000 0.000 0.000 Pt
```